This record from the Alexandria database describes a relaxed Mo2RuCl crystal. The functional is PBE.

Properties
The calculation puts the raw formation energy at 939 meV/atom.

abc: 6.2877 6.2877 6.2877
angles: 90.00 90.00 90.00
With the nearest neighbours (Å) after each atom.
Positions (direct):
1 Mo 0.0000 0.0000 0.0000  4 Mo 2.72, 4 Cl 2.72
2 Mo 0.0000 0.5000 0.5000  4 Mo 2.72, 4 Cl 2.72
3 Mo 0.2500 0.2500 0.2500  4 Ru 2.72, 4 Mo 2.72
4 Mo 0.2500 0.7500 0.7500  4 Ru 2.72, 4 Mo 2.72
5 Mo 0.5000 0.0000 0.5000  4 Mo 2.72, 4 Cl 2.72
6 Mo 0.5000 0.5000 0.0000  4 Mo 2.72, 4 Cl 2.72
7 Mo 0.7500 0.2500 0.7500  4 Ru 2.72, 4 Mo 2.72
8 Mo 0.7500 0.7500 0.2500  4 Mo 2.72, 4 Ru 2.72
9 Ru 0.0000 0.0000 0.5000  4 Cl 2.72, 4 Mo 2.72
10 Ru 0.0000 0.5000 0.0000  4 Cl 2.72, 4 Mo 2.72
11 Ru 0.5000 0.0000 0.0000  4 Cl 2.72, 4 Mo 2.72
12 Ru 0.5000 0.5000 0.5000  4 Cl 2.72, 4 Mo 2.72
13 Cl 0.2500 0.2500 0.7500  4 Mo 2.72, 4 Ru 2.72
14 Cl 0.2500 0.7500 0.2500  4 Mo 2.72, 4 Ru 2.72
15 Cl 0.7500 0.2500 0.2500  4 Mo 2.72, 4 Ru 2.72
16 Cl 0.7500 0.7500 0.7500  4 Mo 2.72, 4 Ru 2.72


This record from the Alexandria database describes a relaxed PaCuH6Ir crystal. The functional is PBE.

Properties
The electronic total energy is -4.884 eV/atom.

abc: 4.5030 4.5030 4.2653
angles: 90.00 90.00 120.00
With the nearest neighbours (Å) after each atom.
Positions (direct):
1 Pa 0.0000 0.0000 0.0000  12 H 2.43
2 Cu 0.3333 0.6667 0.5000  6 H 1.79
3 H 0.5017 0.0034 0.2131  1 Ir 1.78, 1 Cu 1.79, 1 H 1.82
4 H 0.5017 0.0034 0.7869  1 Ir 1.78, 1 Cu 1.79, 1 H 1.82
5 H 0.5017 0.4983 0.2131  1 Ir 1.78, 1 Cu 1.79, 1 H 1.82
6 H 0.5017 0.4983 0.7869  1 Ir 1.78, 1 Cu 1.79, 1 H 1.82
7 H 0.9966 0.4983 0.2131  1 Ir 1.78, 1 Cu 1.79, 1 H 1.82
8 H 0.9966 0.4983 0.7869  1 Ir 1.78, 1 Cu 1.79, 1 H 1.82
9 Ir 0.6667 0.3333 0.5000  6 H 1.78


This record from the Alexandria database describes a relaxed Pr2ZnPt crystal. The functional is PBE.

Properties
Its energy of formation is -275 meV/atom.

abc: 4.2829 4.2829 28.2805
angles: 90.00 90.00 120.00
With the nearest neighbours (Å) after each atom.
Positions (direct):
1 Pr 0.0000 0.0000 0.1132  3 Pt 2.90, 1 Zn 3.20
2 Pr 0.0000 0.0000 0.8868  3 Pt 2.90, 1 Zn 3.20
3 Pr 0.3333 0.6667 0.5534  3 Pt 2.90, 1 Zn 3.20
4 Pr 0.3333 0.6667 0.7799  3 Pt 2.90, 1 Zn 3.20
5 Pr 0.6667 0.3333 0.2201  3 Pt 2.90, 1 Zn 3.20
6 Pr 0.6667 0.3333 0.4466  3 Pt 2.90, 1 Zn 3.20
7 Zn 0.0000 0.0000 0.0000  2 Pr 3.20
8 Zn 0.3333 0.6667 0.6667  2 Pr 3.20
9 Zn 0.6667 0.3333 0.3333  2 Pr 3.20
10 Pt 0.0000 0.0000 0.5000  6 Pr 2.90
11 Pt 0.3333 0.6667 0.1667  6 Pr 2.90
12 Pt 0.6667 0.3333 0.8333  6 Pr 2.90


This record from the Alexandria database describes a relaxed CaNdZnSn crystal. The functional is PBE.

Properties
Its energy of formation is -486 meV/atom.

abc: 7.5566 7.5566 7.5566
angles: 90.00 90.00 90.00
With the nearest neighbours (Å) after each atom.
Positions (direct):
1 Ca 0.0000 0.0000 0.0000  4 Zn 3.27, 4 Sn 3.27
2 Ca 0.0000 0.5000 0.5000  4 Zn 3.27, 4 Sn 3.27
3 Ca 0.5000 0.0000 0.5000  4 Zn 3.27, 4 Sn 3.27
4 Ca 0.5000 0.5000 0.0000  4 Zn 3.27, 4 Sn 3.27
5 Nd 0.0000 0.0000 0.5000  4 Sn 3.27, 4 Zn 3.27
6 Nd 0.0000 0.5000 0.0000  4 Sn 3.27, 4 Zn 3.27
7 Nd 0.5000 0.0000 0.0000  4 Sn 3.27, 4 Zn 3.27
8 Nd 0.5000 0.5000 0.5000  4 Sn 3.27, 4 Zn 3.27
9 Zn 0.2500 0.2500 0.7500  4 Nd 3.27, 4 Ca 3.27
10 Zn 0.2500 0.7500 0.2500  4 Nd 3.27, 4 Ca 3.27
11 Zn 0.7500 0.2500 0.2500  4 Nd 3.27, 4 Ca 3.27
12 Zn 0.7500 0.7500 0.7500  4 Nd 3.27, 4 Ca 3.27
13 Sn 0.2500 0.2500 0.2500  4 Nd 3.27, 4 Ca 3.27
14 Sn 0.2500 0.7500 0.7500  4 Nd 3.27, 4 Ca 3.27
15 Sn 0.7500 0.2500 0.7500  4 Nd 3.27, 4 Ca 3.27
16 Sn 0.7500 0.7500 0.2500  4 Nd 3.27, 4 Ca 3.27


This record from the Alexandria database describes a relaxed CsBiN crystal. The functional is PBE.

Properties
The calculation puts the raw formation energy at 325 meV/atom.

abc: 12.1060 3.5844 9.0400
angles: 90.00 90.00 90.00
With the nearest neighbours (Å) after each atom.
Positions (direct):
1 Cs 0.1694 0.2500 0.0517  3 N 3.08-3.36
2 Cs 0.3306 0.7500 0.5517  3 N 3.08-3.36
3 Cs 0.6694 0.2500 0.4483  3 N 3.08-3.36
4 Cs 0.8306 0.7500 0.9483  3 N 3.08-3.36
5 Bi 0.0415 0.2500 0.6608  2 N 2.24
6 Bi 0.4585 0.7500 0.1608  2 N 2.24
7 Bi 0.5415 0.2500 0.8392  2 N 2.24
8 Bi 0.9585 0.7500 0.3392  2 N 2.24
9 N 0.0847 0.7500 0.7984  2 Bi 2.24
10 N 0.4153 0.2500 0.2984  2 Bi 2.24
11 N 0.5847 0.7500 0.7016  2 Bi 2.24
12 N 0.9153 0.2500 0.2016  2 Bi 2.24